HfNi3Te, relaxed, DFT PBE; space group = No. 221; uncorrected formation energy = 0.96 eV/atom; offset from the most stable computed form = 0.329 eV per atom
1.0
-0.1254 -1.1568 4.4844
-2.5167 -3.7488 -1.0374
3.8877 -2.4642 -0.5269
Ni Te Hf
3 1 1
Direct
0.5000 0.0000 0.0000
0.0000 0.0000 0.5000
0.0000 0.5000 0.0000
0.5000 0.5000 0.5000
0.0000 0.0000 0.0000

***

Mn2RuPt, relaxed, DFT PBE; space group = No. 123; formation energy = -34 meV per atom
1.0
3.7903 0.0000 0.0000
0.0000 3.7903 0.0000
0.0000 0.0000 3.6550
Mn Ru Pt
2 1 1
Direct
0.5000 0.5000 0.0000
0.0000 0.0000 0.0000
0.0000 0.5000 0.5000
0.5000 0.0000 0.5000

***

SiSbRh2, relaxed, DFT PBE; space group = No. 25; uncorrected formation energy = -0.35 eV/atom; offset from the most stable computed form = 0.144 eV per atom
1.0
4.7754 0.0000 0.0000
0.0000 3.1336 -0.0267
0.0000 0.0351 4.3149
Rh Sb Si
2 1 1
Direct
0.5000 0.3754 0.2454
0.0000 0.8751 0.9831
0.0000 0.3749 0.4985
0.5000 0.8745 0.7730